Record 1
Computed, not measured: an optimized crystal structure of TaCuI6 at the PBE level of DFT.

Lattice parameters (Å, degrees): 7.425 13.260 7.445 90.00 116.29 90.00
Space group C2/m (No. 12)
Symmetry-distinct sites (fractional):
Ta 0.000 0.000 0.000 x2
Cu 0.000 0.500 0.500 x2
I 0.216 0.000 0.784 x4
I 0.244 0.352 0.746 x8



Record 2
Computed, not measured: an optimized crystal structure of TaCuI3 at the PBE level of DFT.

ΔE to the lowest computed polymorph in eV per formula unit: 1.94

Lattice parameters (Å, degrees): 5.300 5.300 5.300 90.00 90.00 90.00
Space group Pm-3m (No. 221)
Symmetry-distinct sites (fractional):
Ta 0.000 0.000 0.000 x1
Cu 0.500 0.500 0.500 x1
I 0.000 0.500 0.500 x3



Record 3
Computed, not measured: an optimized crystal structure of TaCu3I9 at the PBE level of DFT.

Lattice parameters (Å, degrees): 18.642 10.218 14.458 90.00 128.90 90.00
Space group Cc (No. 9)
Symmetry-distinct sites (fractional):
Ta 0.000 0.184 0.000 x4
Cu 0.166 0.346 0.912 x4
Cu 0.287 0.059 0.793 x4
Cu 0.356 0.364 0.671 x4
I 0.001 0.267 0.816 x4
I 0.112 0.379 0.138 x4
I 0.138 0.003 0.071 x4
I 0.197 0.419 0.474 x4
I 0.275 0.178 0.939 x4
I 0.343 0.170 0.413 x4
I 0.370 0.492 0.841 x4
I 0.395 0.129 0.751 x4
I 0.496 0.421 0.675 x4



Record 4
Computed, not measured: an optimized crystal structure of TaCuI3 at the PBE level of DFT.

ΔE to the lowest computed polymorph in eV per formula unit: 0.00

Lattice parameters (Å, degrees): 5.528 5.528 5.528 90.00 90.00 90.00
Space group Pm-3m (No. 221)
Symmetry-distinct sites (fractional):
Ta 0.000 0.000 0.000 x1
Cu 0.500 0.500 0.500 x1
I 0.000 0.000 0.500 x3



Record 5
Computed, not measured: an optimized crystal structure of TaCuI2 at the PBE level of DFT.

ΔE to the lowest computed polymorph in eV per formula unit: 0.39

Lattice parameters (Å, degrees): 6.469 6.469 11.098 90.00 90.00 90.00
Space group I-42d (No. 122)
Symmetry-distinct sites (fractional):
Ta 0.000 0.000 0.000 x4
Cu 0.000 0.000 0.500 x4
I 0.230 0.250 0.625 x8



Record 6
Computed, not measured: an optimized crystal structure of TaCu2I at the PBE level of DFT.

ΔE to the lowest computed polymorph in eV per formula unit: 0.00

Lattice parameters (Å, degrees): 7.379 7.379 5.430 90.00 90.00 90.00
Space group I-42d (No. 122)
Symmetry-distinct sites (fractional):
Ta 0.000 0.000 0.000 x4
Cu 0.242 0.750 0.125 x8
I 0.000 0.000 0.500 x4



Record 7
Computed, not measured: an optimized crystal structure of Ta3CuI at the PBE level of DFT.

ΔE to the lowest computed polymorph in eV per formula unit: 0.00

Lattice parameters (Å, degrees): 4.742 4.742 4.742 90.00 90.00 90.00
Space group Pm-3m (No. 221)
Symmetry-distinct sites (fractional):
Ta 0.000 0.000 0.500 x3
Cu 0.000 0.000 0.000 x1
I 0.500 0.500 0.500 x1



Record 8
Computed, not measured: an optimized crystal structure of TaCu3I at the PBE level of DFT.

ΔE to the lowest computed polymorph in eV per formula unit: 0.00

Lattice parameters (Å, degrees): 4.921 4.921 4.921 90.00 90.00 90.00
Space group Pm-3m (No. 221)
Symmetry-distinct sites (fractional):
Ta 0.000 0.000 0.000 x1
Cu 0.000 0.000 0.500 x3
I 0.500 0.500 0.500 x1



Record 9
Computed, not measured: an optimized crystal structure of TaCuTeI2 at the PBE level of DFT.

ΔE to the lowest computed polymorph in eV per formula unit: 0.00

Lattice parameters (Å, degrees): 5.568 5.568 5.377 90.00 90.00 90.00
Space group P4/mmm (No. 123)
Symmetry-distinct sites (fractional):
Ta 0.000 0.000 0.000 x1
Cu 0.500 0.500 0.500 x1
Te 0.000 0.000 0.500 x1
I 0.000 0.500 0.000 x2



Record 10
Computed, not measured: an optimized crystal structure of TaCuTeI2 at the PBE level of DFT.

ΔE to the lowest computed polymorph in eV per formula unit: 2.19

Lattice parameters (Å, degrees): 5.191 5.191 5.203 90.00 90.00 90.00
Space group P4/mmm (No. 123)
Symmetry-distinct sites (fractional):
Ta 0.000 0.000 0.000 x1
Cu 0.500 0.500 0.500 x1
Te 0.500 0.500 0.000 x1
I 0.000 0.500 0.500 x2



Record 11
Computed, not measured: an optimized crystal structure of Tb4CuI5 at the PBE level of DFT.

Lattice parameters (Å, degrees): 19.157 4.113 8.932 90.00 102.55 90.00
Space group C2/m (No. 12)
Symmetry-distinct sites (fractional):
Tb 0.000 0.000 0.209 x4
Tb 0.145 0.500 0.074 x4
Cu 0.000 0.500 0.000 x2
I 0.000 0.500 0.500 x2
I 0.168 0.000 0.343 x4
I 0.176 0.000 0.826 x4



Record 12
Computed, not measured: an optimized crystal structure of Tb4Cu2I5 at the PBE level of DFT.

Lattice parameters (Å, degrees): 23.784 3.963 8.518 90.00 90.69 90.00
Space group C2/m (No. 12)
Symmetry-distinct sites (fractional):
Tb 0.022 0.000 0.197 x4
Tb 0.160 0.500 0.056 x4
Cu 0.049 0.500 0.974 x4
I 0.000 0.500 0.500 x2
I 0.149 0.000 0.333 x4
I 0.210 0.000 0.813 x4



Record 13
Computed, not measured: an optimized crystal structure of Tb2CuI2 at the PBE level of DFT.

Lattice parameters (Å, degrees): 4.0802 4.0802 35.2979 90.00 90.00 120.00
Space group R-3m (No. 166, hexagonal axes)
Symmetry-distinct sites (fractional):
Tb 0.0000 0.0000 0.1205 x6
Cu 0.0000 0.0000 0.5000 x3
I 0.0000 0.0000 0.2729 x6



Record 14
Computed, not measured: an optimized crystal structure of Tb3CuI3 at the PBE level of DFT.

Lattice parameters (Å, degrees): 12.132 12.132 12.132 90.00 90.00 90.00
Space group I4_132 (No. 214)
Symmetry-distinct sites (fractional):
Tb 0.104 0.354 0.125 x24
Cu 0.125 0.125 0.125 x8
I 0.116 0.134 0.625 x24



Record 15
Computed, not measured: an optimized crystal structure of TbTlCu2I6 at the PBE level of DFT.

Lattice parameters (Å, degrees): 7.7840 7.7840 23.9839 90.00 90.00 120.00
Space group R3 (No. 146, hexagonal axes)
Symmetry-distinct sites (fractional):
Tb 0.0000 0.0000 0.0000 x3
Tl 0.0000 0.0000 0.5000 x3
Cu 0.0000 0.0000 0.2632 x3
Cu 0.0000 0.0000 0.7375 x3
I 0.0053 0.3619 0.5910 x9
I 0.0287 0.6900 0.7425 x9



Record 16
Computed, not measured: an optimized crystal structure of TbTlCuI5 at the PBE level of DFT.

Lattice parameters (Å, degrees): 9.922 13.208 11.260 90.00 113.72 90.00
Space group C2/c (No. 15)
Symmetry-distinct sites (fractional):
Tb 0.000 0.000 0.000 x4
Tl 0.000 0.368 0.250 x4
Cu 0.000 0.310 0.750 x4
I 0.000 0.091 0.250 x4
I 0.124 0.202 0.626 x8
I 0.186 0.426 0.937 x8



Record 17
Computed, not measured: an optimized crystal structure of CuTc3I at the PBE level of DFT.

ΔE to the lowest computed polymorph in eV per formula unit: 0.00

Lattice parameters (Å, degrees): 4.576 4.576 4.576 90.00 90.00 90.00
Space group Pm-3m (No. 221)
Symmetry-distinct sites (fractional):
Cu 0.000 0.000 0.000 x1
Tc 0.000 0.000 0.500 x3
I 0.500 0.500 0.500 x1



Record 18
Computed, not measured: an optimized crystal structure of Cu2TcI6 at the PBE level of DFT.

Lattice parameters (Å, degrees): 15.048 12.164 7.051 90.00 96.55 90.00
Space group C2/c (No. 15)
Symmetry-distinct sites (fractional):
Cu 0.047 0.083 0.437 x8
Tc 0.000 0.409 0.750 x4
I 0.101 0.425 0.098 x8
I 0.112 0.258 0.632 x8
I 0.128 0.085 0.127 x8



Record 19
Computed, not measured: an optimized crystal structure of CuTcI3 at the PBE level of DFT.

ΔE to the lowest computed polymorph in eV per formula unit: 0.75

Lattice parameters (Å, degrees): 5.414 5.414 5.414 90.00 90.00 90.00
Space group Pm-3m (No. 221)
Symmetry-distinct sites (fractional):
Cu 0.000 0.000 0.000 x1
Tc 0.500 0.500 0.500 x1
I 0.000 0.000 0.500 x3



Record 20
Computed, not measured: an optimized crystal structure of CuTc2I at the PBE level of DFT.

ΔE to the lowest computed polymorph in eV per formula unit: 0.00

Lattice parameters (Å, degrees): 6.283 6.283 6.283 90.00 90.00 90.00
Space group Fm-3m (No. 225)
Symmetry-distinct sites (fractional):
Cu 0.000 0.000 0.000 x4
Tc 0.250 0.250 0.250 x8
I 0.000 0.000 0.500 x4



For the records above, the corresponding energy relative to the elements, uncorrected values read -0.27; 1.03; -0.22; 0.65; 0.89; 0.82; 1.44; 1.37; 0.61; 1.05; -0.99; -0.78; -0.80; -0.85; -0.70; -0.87; 1.86; -0.11; 0.87; 0.83 eV/atom.